(1)
{
  "formula": "Na2H6O",
  "functional": "PBE",
  "state": "optimized geometry",
  "dos_ef_per_ev_atom": 0.252,
  "lattice": [[3.962, 0.000, 2.288], [1.321, 3.736, 2.288], [0.000, 0.000, 4.575]],
  "species": ["Na", "Na", "O", "H", "H", "H", "H", "H", "H"],
  "fractional_positions": [[0.750, 0.750, 0.750], [0.250, 0.250, 0.250], [0.000, 0.000, 0.000], [0.347, 0.653, 0.347], [0.653, 0.347, 0.347], [0.347, 0.653, 0.653], [0.653, 0.347, 0.653], [0.653, 0.653, 0.347], [0.347, 0.347, 0.653]]
}

=====

(2)
{
  "formula": "Na2H2O3",
  "functional": "PBE",
  "state": "optimized geometry",
  "dos_ef_per_ev_atom": 0.486,
  "lattice": [[5.842, 0.000, 0.000], [-1.947, 5.508, 0.000], [-1.947, -2.754, 4.770]],
  "species": ["Na", "Na", "Na", "Na", "H", "H", "H", "H", "O", "O", "O", "O", "O", "O"],
  "fractional_positions": [[0.000, 0.000, 0.504], [0.500, 0.504, 0.500], [0.496, 0.996, 0.996], [0.004, 0.500, 0.000], [0.000, 0.000, 0.145], [0.500, 0.145, 0.500], [0.855, 0.355, 0.355], [0.645, 0.500, 0.000], [0.736, 0.750, 0.986], [0.764, 0.250, 0.514], [0.014, 0.264, 0.250], [0.486, 0.236, 0.750], [0.250, 0.986, 0.236], [0.750, 0.514, 0.264]]
}

=====

(3)
{
  "formula": "Na5H4O",
  "functional": "PBE",
  "state": "optimized geometry",
  "dos_ef_per_ev_atom": 0.639,
  "lattice": [[4.317, 0.000, 2.082], [2.158, 5.409, 1.041], [-0.191, 0.000, 5.913]],
  "species": ["Na", "Na", "Na", "Na", "Na", "H", "H", "H", "H", "O"],
  "fractional_positions": [[0.905, 0.386, 0.805], [0.292, 0.805, 0.614], [0.710, 0.195, 0.386], [0.097, 0.614, 0.195], [0.501, 0.000, 0.000], [0.404, 0.401, 0.793], [0.805, 0.793, 0.599], [0.197, 0.207, 0.401], [0.598, 0.599, 0.207], [0.001, 0.000, 0.000]]
}

=====

(4)
{
  "formula": "NaHO",
  "functional": "PBE",
  "state": "optimized geometry",
  "dos_ef_per_ev_atom": 0.000,
  "lattice": [[3.444, 0.000, 0.000], [0.000, 3.444, 0.000], [-1.722, -1.722, 2.814]],
  "species": ["Na", "O", "H"],
  "fractional_positions": [[0.280, 0.280, 0.561], [0.871, 0.871, 0.742], [0.699, 0.699, 0.397]]
}

=====

Number 1: total magnetization 1.6 Bohr magnetons per cell, final energy -23.17 eV for the cell shown. Number 2: total magnetization 4.0 Bohr magnetons per cell, final energy -55.80 eV for the cell shown. Number 3: total magnetization 1.0 Bohr magnetons per cell, final energy -28.08 eV for the cell shown. Number 4: total magnetization 0.0 Bohr magnetons per cell, final energy -13.44 eV for the cell shown.